# 1
{
  "formula": "SmEr5Bi6",
  "functional": "GGA-PBE",
  "state": "relaxed",
  "lattice_angstrom": [[3.868, -6.701, 0.000], [3.868, 6.701, 0.000], [-2.581, 0.000, 7.292]],
  "species": ["Sm", "Er", "Er", "Er", "Er", "Er", "Bi", "Bi", "Bi", "Bi", "Bi", "Bi"],
  "fractional_positions": [[0.000, 0.000, 0.000], [0.164, 0.836, 0.500], [0.332, 0.668, 0.000], [0.500, 0.500, 0.500], [0.668, 0.332, 0.000], [0.836, 0.164, 0.500], [0.085, 0.422, 0.253], [0.255, 0.255, 0.749], [0.422, 0.085, 0.253], [0.578, 0.915, 0.747], [0.745, 0.745, 0.251], [0.915, 0.578, 0.747]],
  "delta_e_f_ev_per_atom": -0.829,
  "volume_a3_per_atom": 31.5
}

=====

# 2
{
  "formula": "Sm4ErBi5",
  "functional": "GGA-PBE",
  "state": "relaxed",
  "lattice_angstrom": [[-5.072, 5.072, 3.210], [5.072, -5.072, 3.210], [5.072, 5.072, -3.210]],
  "species": ["Sm", "Sm", "Sm", "Sm", "Er", "Bi", "Bi", "Bi", "Bi", "Bi"],
  "fractional_positions": [[0.098, 0.301, 0.399], [0.301, 0.902, 0.203], [0.699, 0.098, 0.797], [0.902, 0.699, 0.601], [0.500, 0.500, 0.000], [0.000, 0.000, 0.000], [0.204, 0.599, 0.803], [0.401, 0.204, 0.605], [0.599, 0.796, 0.395], [0.796, 0.401, 0.197]],
  "delta_e_f_ev_per_atom": -0.900,
  "volume_a3_per_atom": 33.0
}

=====

# 3
{
  "formula": "Sm4ErBi",
  "functional": "GGA-PBE",
  "state": "relaxed",
  "lattice_angstrom": [[3.741, -3.741, 0.000], [3.741, 3.741, 0.000], [-0.016, 0.000, 7.852]],
  "species": ["Sm", "Sm", "Sm", "Sm", "Er", "Bi"],
  "fractional_positions": [[0.000, 0.500, 0.245], [0.000, 0.500, 0.755], [0.500, 0.000, 0.245], [0.500, 0.000, 0.755], [0.000, 0.000, 0.000], [0.500, 0.500, 0.500]],
  "delta_e_f_ev_per_atom": 0.165,
  "volume_a3_per_atom": 36.6
}